1.
# CaTiF5

A crystal of CaTiF5 relaxed with PBEsol (meta-GGA SCAN, the Alexandria database). Values from VASP.

The calculation puts the raw total energy at -10.019 eV per atom. Its magnetic moment is 4.000 Bohr magnetons per cell. The calculation puts the uncorrected formation energy at -3.820 eV per atom. Its space group is No. 14. The excess energy over the best structure of this formula in the dataset is 0.131 eV/f.u.

```
&SYSTEM
  ibrav = 0, nat = 28, ntyp = 3
/
ATOMIC_SPECIES
Ca 40.08 Ca.upf
Ti 47.87 Ti.upf
F 19.00 F.upf
CELL_PARAMETERS angstrom
-5.071 -2.006 -0.719
5.073 -5.738 -0.099
-1.007 -1.063 10.060
ATOMIC_POSITIONS crystal
Ca 0.468 0.744 0.980
Ca 0.532 0.756 0.480
Ca 0.532 0.256 0.020
Ca 0.468 0.244 0.520
Ti 0.892 0.599 0.246
Ti 0.108 0.901 0.746
Ti 0.108 0.401 0.754
Ti 0.892 0.099 0.254
F 0.600 0.553 0.118
F 0.400 0.947 0.618
F 0.400 0.447 0.882
F 0.600 0.053 0.382
F 0.641 0.502 0.390
F 0.359 0.998 0.890
F 0.359 0.498 0.610
F 0.641 0.002 0.110
F 0.885 0.806 0.599
F 0.115 0.694 0.099
F 0.115 0.194 0.401
F 0.885 0.306 0.901
F 0.817 0.860 0.859
F 0.183 0.640 0.359
F 0.183 0.140 0.141
F 0.817 0.360 0.641
F 0.853 0.838 0.298
F 0.147 0.662 0.798
F 0.147 0.162 0.702
F 0.853 0.338 0.202
```


2.
# AgB2Ir2

A crystal of AgB2Ir2 relaxed with PBEsol (meta-GGA SCAN, the Alexandria database). Values from VASP.

The calculation puts the raw total energy at -37.815 eV per atom. Its magnetic moment is 0.000 Bohr magnetons per cell. Its space group is No. 139.

```
&SYSTEM
  ibrav = 0, nat = 5, ntyp = 3
/
ATOMIC_SPECIES
B 10.81 B.upf
Ag 107.87 Ag.upf
Ir 192.22 Ir.upf
CELL_PARAMETERS angstrom
-2.028 -1.945 -0.755
2.018 -2.096 -0.025
-1.264 0.717 7.152
ATOMIC_POSITIONS crystal
B 0.250 0.750 0.500
B 0.750 0.250 0.500
Ag 0.000 0.000 0.000
Ir 0.360 0.360 0.720
Ir 0.640 0.640 0.280
```